A relaxed U3S5 crystal. Source: Alexandria via LeMat-Bulk, functional PBE-GGA.

Cell lengths 6.080, 7.884, 7.884 Å; angles 120.00, 90.00, 90.00 degrees
Atoms (fractional coordinates):
S  0.000  0.667  0.333
S  0.000  0.333  0.667
S  0.250  0.745  0.000
S  0.250  0.000  0.745
S  0.250  0.255  0.255
S  0.750  0.255  0.000
S  0.750  0.745  0.745
S  0.500  0.333  0.667
S  0.500  0.667  0.333
S  0.750  0.000  0.255
U  0.250  0.000  0.390
U  0.750  0.390  0.390
U  0.250  0.390  0.000
U  0.750  0.000  0.610
U  0.250  0.610  0.610
U  0.750  0.610  0.000

Calculated values
As for the uncorrected formation energy: -1065 kJ/mol of formula units. The size of the total moment is 8.01 μB/f.u.

---

A relaxed Ag2IF2 crystal. Source: Alexandria via LeMat-Bulk, functional PBE-GGA.

Cell lengths 6.844, 7.420, 12.139 Å; angles 44.71, 90.00, 90.00 degrees
Atoms (fractional coordinates):
F  0.496  0.930  0.649
F  0.344  0.668  0.996
F  0.156  0.168  0.996
F  0.844  0.832  0.004
F  0.504  0.070  0.351
F  0.996  0.570  0.351
F  0.656  0.332  0.004
F  0.004  0.430  0.649
Ag  0.253  0.994  0.506
Ag  0.640  0.779  0.881
Ag  0.247  0.494  0.506
Ag  0.860  0.279  0.881
Ag  0.140  0.721  0.119
Ag  0.360  0.221  0.119
Ag  0.753  0.506  0.494
Ag  0.747  0.006  0.494
I  0.487  0.635  0.277
I  0.987  0.865  0.723
I  0.013  0.135  0.277
I  0.513  0.365  0.723

Calculated values
As for the uncorrected formation energy: -380 kJ/mol of formula units. The size of the total moment is 0.00 μB/f.u.

---

A relaxed NiPt2Se crystal. Source: Alexandria via LeMat-Bulk, functional PBE-GGA.

Cell lengths 5.336, 5.336, 4.212 Å; angles 74.46, 74.46, 32.93 degrees
Atoms (fractional coordinates):
Se  0.444  0.444  0.471
Ni  0.776  0.776  0.787
Pt  0.232  0.232  0.302
Pt  0.048  0.048  0.939

Calculated values
As for the uncorrected formation energy: 34 kJ/mol of formula units. The size of the total moment is 0.00 μB/f.u.

---

A relaxed NpAg6Br12 crystal. Source: Alexandria via LeMat-Bulk, functional PBE-GGA.

Cell lengths 8.803, 8.803, 8.803 Å; angles 100.80, 100.80, 100.80 degrees
Atoms (fractional coordinates):
Br  0.393  0.626  0.831
Br  0.169  0.607  0.374
Br  0.968  0.130  0.287
Br  0.870  0.713  0.032
Br  0.287  0.968  0.130
Br  0.713  0.032  0.870
Br  0.626  0.831  0.393
Br  0.374  0.169  0.607
Br  0.032  0.870  0.713
Br  0.130  0.287  0.968
Br  0.831  0.393  0.626
Br  0.607  0.374  0.169
Ag  0.246  0.386  0.509
Ag  0.491  0.754  0.614
Ag  0.614  0.491  0.754
Ag  0.509  0.246  0.386
Ag  0.754  0.614  0.491
Ag  0.386  0.509  0.246
Np  0.000  0.000  0.000

Calculated values
As for the uncorrected formation energy: -959 kJ/mol of formula units. The size of the total moment is 1.06 μB/f.u.

---

A relaxed CrCuTc2 crystal. Source: Alexandria via LeMat-Bulk, functional PBE-GGA.

Cell lengths 4.634, 4.634, 2.627 Å; angles 90.00, 90.00, 109.69 degrees
Atoms (fractional coordinates):
Tc  0.000  0.000  0.000
Tc  0.500  0.500  0.000
Cr  0.500  0.000  0.500
Cu  0.000  0.500  0.500

Calculated values
The formation enthalpy at 0 K comes out at 0.253 eV per atom. The size of the total moment is 0.01 μB/f.u.

---

A relaxed Sr2Li17Al3 crystal. Source: Alexandria via LeMat-Bulk, functional PBE-GGA.

Cell lengths 8.052, 8.052, 8.052 Å; angles 85.39, 85.39, 85.39 degrees
Atoms (fractional coordinates):
Li  0.259  0.000  0.741
Li  0.798  0.332  0.332
Li  0.000  0.500  0.000
Li  0.909  0.909  0.909
Li  0.259  0.741  0.000
Li  0.332  0.332  0.798
Li  0.668  0.202  0.668
Li  0.000  0.741  0.259
Li  0.500  0.000  0.000
Li  0.741  0.259  0.000
Li  0.202  0.668  0.668
Li  0.668  0.668  0.202
Li  0.741  0.000  0.259
Li  0.091  0.091  0.091
Li  0.332  0.798  0.332
Li  0.000  0.000  0.500
Li  0.000  0.259  0.741
Al  0.000  0.500  0.500
Al  0.500  0.000  0.500
Al  0.500  0.500  0.000
Sr  0.678  0.678  0.678
Sr  0.322  0.322  0.322

Calculated values
The formation enthalpy at 0 K comes out at 0.074 eV per atom. The size of the total moment is 0.00 μB/f.u.

---

A relaxed Sr2Sn3Ir2 crystal. Source: Alexandria via LeMat-Bulk, functional PBE-GGA.

Cell lengths 4.403, 6.119, 7.807 Å; angles 115.77, 90.00, 111.09 degrees
Atoms (fractional coordinates):
Sr  0.854  0.707  0.220
Sr  0.146  0.293  0.780
Ir  0.873  0.746  0.787
Ir  0.127  0.254  0.213
Sn  0.362  0.724  0.552
Sn  0.638  0.276  0.448
Sn  0.500  0.000  0.000

Calculated values
The formation enthalpy at 0 K comes out at -0.482 eV per atom. The size of the total moment is 0.00 μB/f.u.

---

Summary of electronic total energy in eV per atom
-8.193, -2.986, -5.249, -3.161, -8.359, -2.068, -5.210
(order as listed above)
Summary of calculated volume in Å³ per cell
327.32, 433.64, 62.60, 640.50, 53.12, 517.19, 173.66
(order as listed above)